# 1
Computed, not measured: a relaxed structure of NdHoTm4S8 at the PBE level of DFT.

Computed properties:
DOS(E_F)	8.3	states/eV per cell
uncorrected energy	-6.22	eV/atom
theoretical density	5.667	Mg/m³

Geometry as extended XYZ:
```
14
Lattice="4.002 2.310 6.557 -4.002 2.310 6.557 0.000 -4.621 6.557" Properties=species:S:1:pos:R:3 pbc="T T T"
Nd 0.000 0.000 0.000
Ho 0.000 0.000 12.291
Tm -1.989 -1.148 9.033
Tm 0.000 0.000 4.935
Tm 1.989 -1.148 9.033
Tm 0.000 2.297 9.033
S 0.000 -2.194 10.604
S -1.900 1.097 10.604
S 0.000 0.000 7.531
S -1.817 -1.049 14.042
S 1.900 1.097 10.604
S 0.000 0.000 16.973
S 1.817 -1.049 14.042
S 0.000 2.098 14.042
```

---

# 2
Computed, not measured: a relaxed structure of Rb2Sr4Pd at the PBE level of DFT.

Computed properties:
energy relative to the elements	-0.6	eV/f.u.
DOS(E_F)	7.5	states/eV per cell
theoretical density	2.426	Mg/m³

Geometry as extended XYZ:
```
7
Lattice="-3.072 3.072 11.384 3.072 -3.072 11.384 3.072 3.072 -11.384" Properties=species:S:1:pos:R:3 pbc="T T T"
Rb 0.000 0.000 3.902
Rb 0.000 0.000 18.866
Sr 3.072 0.000 0.000
Sr 0.000 0.000 8.437
Sr 0.000 3.072 0.000
Sr 0.000 0.000 14.331
Pd 0.000 0.000 11.384
```

---

# 3
Computed, not measured: a relaxed structure of HPd3Se at the PBE level of DFT.

Computed properties:
DOS(E_F)	6.6	states/eV per cell
theoretical density	6.261	Mg/m³
polymorph energy (0 for the lowest one)	865.9	meV/atom

Geometry as extended XYZ:
```
5
Lattice="4.731 0.000 0.000 0.000 4.731 0.000 0.000 0.000 4.731" Properties=species:S:1:pos:R:3 pbc="T T T"
H 0.000 0.000 0.000
Pd 0.000 2.365 2.365
Pd 2.365 0.000 2.365
Pd 2.365 2.365 0.000
Se 2.365 2.365 2.365
```